--- 1 ---
{
  "formula": "Si2SbTe",
  "functional": "PBE-GGA",
  "state": "relaxed",
  "lattice_angstrom": [[-0.592, -0.500, -7.320], [-0.568, -4.203, -6.016], [-3.881, -2.100, -5.892]],
  "species": ["Sb", "Si", "Si", "Te"],
  "frac_coords": [[0.729, 0.729, 0.729], [0.994, 0.994, 0.994], [0.260, 0.260, 0.260], [0.517, 0.517, 0.517]],
  "volume_a3_per_atom": 23.4,
  "dos_at_fermi_per_ev_cell": 1.69
}



--- 2 ---
{
  "formula": "Si2SbTe",
  "functional": "PBE-GGA",
  "state": "relaxed",
  "lattice_angstrom": [[5.742, 0.086, 0.018], [2.188, 5.309, -0.018], [-3.326, -3.637, 2.947]],
  "species": ["Sb", "Si", "Si", "Te"],
  "frac_coords": [[0.250, 0.750, 0.500], [0.998, 0.998, 0.000], [0.502, 0.502, 0.000], [0.750, 0.250, 0.500]],
  "volume_a3_per_atom": 22.3,
  "dos_at_fermi_per_ev_cell": 2.03
}



Stability order, top to bottom: 1, 2



--- 1 ---
{
  "formula": "Si2SbTe2",
  "functional": "PBE-GGA",
  "state": "relaxed",
  "lattice_angstrom": [[5.526, 0.000, 0.000], [0.000, 5.526, 0.000], [2.763, 2.763, 4.055]],
  "species": ["Sb", "Si", "Si", "Te", "Te"],
  "frac_coords": [[0.000, 0.000, 0.000], [0.348, 0.348, 0.304], [0.652, 0.652, 0.696], [0.750, 0.250, 0.500], [0.250, 0.750, 0.500]],
  "volume_a3_per_atom": 24.8,
  "dos_at_fermi_per_ev_cell": 2.92
}



--- 2 ---
{
  "formula": "Si2SbTe2",
  "functional": "PBE-GGA",
  "state": "relaxed",
  "lattice_angstrom": [[-3.049, 3.981, 6.484], [-6.512, 2.248, -4.442], [-1.793, -3.099, 1.060]],
  "species": ["Sb", "Sb", "Si", "Si", "Si", "Si", "Te", "Te", "Te", "Te"],
  "frac_coords": [[0.000, 0.000, 0.000], [0.500, 0.500, 0.000], [0.311, 0.811, 0.000], [0.811, 0.689, 0.000], [0.689, 0.189, 0.000], [0.189, 0.311, 0.000], [0.150, 0.650, 0.500], [0.650, 0.850, 0.500], [0.850, 0.350, 0.500], [0.350, 0.150, 0.500]],
  "volume_a3_per_atom": 25.1,
  "dos_at_fermi_per_ev_cell": 5.25
}



Stability order, top to bottom: 1, 2



--- 1 ---
{
  "formula": "SiSb3Te",
  "functional": "PBE-GGA",
  "state": "relaxed",
  "lattice_angstrom": [[5.244, 0.000, 0.000], [0.000, 5.244, 0.000], [0.000, 0.000, 5.244]],
  "species": ["Sb", "Sb", "Sb", "Si", "Te"],
  "frac_coords": [[0.000, 0.500, 0.000], [0.000, 0.000, 0.500], [0.500, 0.000, 0.000], [0.000, 0.000, 0.000], [0.500, 0.500, 0.500]],
  "volume_a3_per_atom": 28.8,
  "dos_at_fermi_per_ev_cell": 3.24
}



--- 2 ---
{
  "formula": "SiSb3Te",
  "functional": "PBE-GGA",
  "state": "relaxed",
  "lattice_angstrom": [[-1.921, 2.932, -4.475], [-1.855, -4.824, -2.364], [-5.018, 0.661, 2.587]],
  "species": ["Sb", "Sb", "Sb", "Si", "Te"],
  "frac_coords": [[0.000, 0.500, 0.000], [0.000, 0.000, 0.500], [0.500, 0.000, 0.000], [0.500, 0.500, 0.500], [0.000, 0.000, 0.000]],
  "volume_a3_per_atom": 36.7,
  "dos_at_fermi_per_ev_cell": 5.20
}



Stability order, top to bottom: 1, 2



--- 1 ---
{
  "formula": "Si2Sb2Te",
  "functional": "PBE-GGA",
  "state": "relaxed",
  "lattice_angstrom": [[3.818, 0.000, 0.000], [0.000, 3.818, 0.000], [1.909, 1.909, 8.217]],
  "species": ["Sb", "Sb", "Si", "Si", "Te"],
  "frac_coords": [[0.385, 0.385, 0.231], [0.615, 0.615, 0.769], [0.750, 0.250, 0.500], [0.250, 0.750, 0.500], [0.000, 0.000, 0.000]],
  "volume_a3_per_atom": 24.0,
  "dos_at_fermi_per_ev_cell": 2.35
}



--- 2 ---
{
  "formula": "Si2Sb2Te",
  "functional": "PBE-GGA",
  "state": "relaxed",
  "lattice_angstrom": [[5.086, 0.000, 0.000], [0.000, 5.086, 0.000], [2.543, 2.543, 4.626]],
  "species": ["Sb", "Sb", "Si", "Si", "Te"],
  "frac_coords": [[0.750, 0.250, 0.500], [0.250, 0.750, 0.500], [0.369, 0.369, 0.261], [0.631, 0.631, 0.739], [0.000, 0.000, 0.000]],
  "volume_a3_per_atom": 23.9,
  "dos_at_fermi_per_ev_cell": 1.86
}



Stability order, top to bottom: 2, 1